Below is an optimized crystal structure of MgGaNiPt, with properties calculated at the PBE level.

```
data_MgGaNiPt
_chemical_formula_sum 'Mg4 Ga4 Ni4 Pt4'
_symmetry_space_group_name_H-M 'F -4 3 m'
_symmetry_Int_Tables_number 216
_symmetry_space_group_name_Hall 'F -4 2 3'
_cell_length_a 6.1171
_cell_length_b 6.1171
_cell_length_c 6.1171
_cell_angle_alpha 90.00
_cell_angle_beta 90.00
_cell_angle_gamma 90.00
loop_
_atom_site_label
_atom_site_fract_x
_atom_site_fract_y
_atom_site_fract_z
_atom_site_occupancy
Mg1 0.0000 0.0000 0.0000 1
Ga1 0.0000 0.0000 0.5000 1
Ni1 0.2500 0.2500 0.2500 1
Pt1 0.2500 0.2500 0.7500 1
```

Offset from the most stable computed form = 10 meV per atom
DOS at the Fermi energy = 10.734 states/eV per cell
Energy of formation = -214 kJ/mol of formula units
Electronic total energy = -4.666 eV per atom


Below is an optimized crystal structure of PaMnRu2, with properties calculated at the PBE level.

```
data_PaMnRu2
_chemical_formula_sum 'Pa1 Mn1 Ru2'
_symmetry_space_group_name_H-M 'P 4/m m m'
_symmetry_Int_Tables_number 123
_symmetry_space_group_name_Hall '-P 4 2'
_cell_length_a 4.3332
_cell_length_b 4.3332
_cell_length_c 3.6034
_cell_angle_alpha 90.00
_cell_angle_beta 90.00
_cell_angle_gamma 90.00
loop_
_atom_site_label
_atom_site_fract_x
_atom_site_fract_y
_atom_site_fract_z
_atom_site_occupancy
Pa1 0.0000 0.0000 0.0000 1
Mn1 0.5000 0.5000 0.0000 1
Ru1 0.0000 0.5000 0.5000 1
```

DOS at the Fermi energy = 3.967 states/eV per cell
Energy of formation = -119 kJ/mol of formula units
Electronic total energy = -9.613 eV per atom


Below is an optimized crystal structure of ErCd2In, with properties calculated at the PBE level.

```
data_ErCd2In
_chemical_formula_sum 'Er4 Cd8 In4'
_symmetry_space_group_name_H-M 'F m -3 m'
_symmetry_Int_Tables_number 225
_symmetry_space_group_name_Hall '-F 4 2 3'
_cell_length_a 7.2633
_cell_length_b 7.2633
_cell_length_c 7.2633
_cell_angle_alpha 90.00
_cell_angle_beta 90.00
_cell_angle_gamma 90.00
loop_
_atom_site_label
_atom_site_fract_x
_atom_site_fract_y
_atom_site_fract_z
_atom_site_occupancy
Er1 0.0000 0.0000 0.0000 1
Cd1 0.2500 0.2500 0.2500 1
In1 0.0000 0.0000 0.5000 1
```

Offset from the most stable computed form = 96 meV per atom
DOS at the Fermi energy = 2.429 states/eV per cell
Energy of formation = -78 kJ/mol of formula units
Electronic total energy = -2.486 eV per atom


Below is an optimized crystal structure of FeCu2Tc, with properties calculated at the PBE level.

```
data_FeCu2Tc
_chemical_formula_sum 'Fe1 Cu2 Tc1'
_symmetry_space_group_name_H-M 'P 4/m m m'
_symmetry_Int_Tables_number 123
_symmetry_space_group_name_Hall '-P 4 2'
_cell_length_a 3.6041
_cell_length_b 3.6041
_cell_length_c 3.9172
_cell_angle_alpha 90.00
_cell_angle_beta 90.00
_cell_angle_gamma 90.00
loop_
_atom_site_label
_atom_site_fract_x
_atom_site_fract_y
_atom_site_fract_z
_atom_site_occupancy
Fe1 0.0000 0.0000 0.0000 1
Cu1 0.0000 0.5000 0.5000 1
Tc1 0.5000 0.5000 0.0000 1
```

Offset from the most stable computed form = 166 meV per atom
DOS at the Fermi energy = 5.696 states/eV per cell
Energy of formation = 122 kJ/mol of formula units
Electronic total energy = -6.439 eV per atom


Below is an optimized crystal structure of YTlCd2H, with properties calculated at the PBE level.

```
data_YTlCd2H
_chemical_formula_sum 'Y1 Tl1 Cd2 H1'
_symmetry_space_group_name_H-M 'P 4/m m m'
_symmetry_Int_Tables_number 123
_symmetry_space_group_name_Hall '-P 4 2'
_cell_length_a 4.7098
_cell_length_b 4.7098
_cell_length_c 4.5385
_cell_angle_alpha 90.00
_cell_angle_beta 90.00
_cell_angle_gamma 90.00
loop_
_atom_site_label
_atom_site_fract_x
_atom_site_fract_y
_atom_site_fract_z
_atom_site_occupancy
Y1 0.0000 0.0000 0.0000 1
Tl1 0.5000 0.5000 0.0000 1
Cd1 0.0000 0.5000 0.5000 1
H1 0.0000 0.0000 0.5000 1
```

DOS at the Fermi energy = 1.200 states/eV per cell
Electronic total energy = -2.974 eV per atom


Below is an optimized crystal structure of FeRhW2, with properties calculated at the PBE level.

```
data_FeRhW2
_chemical_formula_sum 'Fe1 Rh1 W2'
_symmetry_space_group_name_H-M 'P 4 m m'
_symmetry_Int_Tables_number 99
_cell_length_a 2.7046
_cell_length_b 2.7046
_cell_length_c 7.9794
_cell_angle_alpha 90.00
_cell_angle_beta 90.00
_cell_angle_gamma 90.00
loop_
_symmetry_equiv_pos_as_xyz
'x,y,z'
'-y,x,z'
'-x,-y,z'
'y,-x,z'
'-x,y,z'
'y,x,z'
'x,-y,z'
'-y,-x,z'
loop_
_atom_site_label
_atom_site_fract_x
_atom_site_fract_y
_atom_site_fract_z
_atom_site_occupancy
Fe1 0.0000 0.0000 0.0000 1
Rh1 0.5000 0.5000 0.2268 1
W1 0.0000 0.0000 0.4748 1
W2 0.5000 0.5000 0.7575 1
```

Offset from the most stable computed form = 109 meV per atom
DOS at the Fermi energy = 3.557 states/eV per cell
Energy of formation = 36 kJ/mol of formula units
Electronic total energy = -10.338 eV per atom


Below is an optimized crystal structure of Sc3NbC, with properties calculated at the PBE level.

```
data_Sc3NbC
_chemical_formula_sum 'Sc3 Nb1 C1'
_symmetry_space_group_name_H-M 'P m -3 m'
_symmetry_Int_Tables_number 221
_symmetry_space_group_name_Hall '-P 4 2 3'
_cell_length_a 4.9593
_cell_length_b 4.9593
_cell_length_c 4.9593
_cell_angle_alpha 90.00
_cell_angle_beta 90.00
_cell_angle_gamma 90.00
loop_
_atom_site_label
_atom_site_fract_x
_atom_site_fract_y
_atom_site_fract_z
_atom_site_occupancy
Sc1 0.0000 0.0000 0.5000 1
Nb1 0.0000 0.0000 0.0000 1
C1 0.5000 0.5000 0.5000 1
```

Offset from the most stable computed form = 1764 meV per atom
DOS at the Fermi energy = 5.367 states/eV per cell
Energy of formation = 865 kJ/mol of formula units
Electronic total energy = -5.865 eV per atom


Below is an optimized crystal structure of BaBeSiPt3, with properties calculated at the PBE level.

```
data_BaBeSiPt3
_chemical_formula_sum 'Ba4 Be4 Si4 Pt12'
_symmetry_space_group_name_H-M 'C m c m'
_symmetry_Int_Tables_number 63
_symmetry_space_group_name_Hall '-C 2c 2'
_cell_length_a 6.5883
_cell_length_b 12.3186
_cell_length_c 5.8353
_cell_angle_alpha 90.00
_cell_angle_beta 90.00
_cell_angle_gamma 90.00
loop_
_atom_site_label
_atom_site_fract_x
_atom_site_fract_y
_atom_site_fract_z
_atom_site_occupancy
Ba1 0.0000 0.2422 0.2500 1
Be1 0.0000 0.4772 0.7500 1
Si1 0.0000 0.0993 0.7500 1
Pt1 0.0000 0.2896 0.7500 1
Pt2 0.2327 0.0000 0.0000 1
```

DOS at the Fermi energy = 6.330 states/eV per cell
Electronic total energy = -5.566 eV per atom
Formation energy without anion corrections = -0.701 eV per atom


Below is an optimized crystal structure of TaCdRh, with properties calculated at the PBE level.

```
data_TaCdRh
_chemical_formula_sum 'Ta4 Cd4 Rh4'
_symmetry_space_group_name_H-M 'F -4 3 m'
_symmetry_Int_Tables_number 216
_symmetry_space_group_name_Hall 'F -4 2 3'
_cell_length_a 6.2141
_cell_length_b 6.2141
_cell_length_c 6.2141
_cell_angle_alpha 90.00
_cell_angle_beta 90.00
_cell_angle_gamma 90.00
loop_
_atom_site_label
_atom_site_fract_x
_atom_site_fract_y
_atom_site_fract_z
_atom_site_occupancy
Ta1 0.0000 0.0000 0.0000 1
Cd1 0.2500 0.2500 0.2500 1
Rh1 0.0000 0.0000 0.5000 1
```

DOS at the Fermi energy = 21.338 states/eV per cell
Energy of formation = 270 kJ/mol of formula units
Electronic total energy = -5.774 eV per atom


Below is an optimized crystal structure of SrAcSn2, with properties calculated at the PBE level.

```
data_SrAcSn2
_chemical_formula_sum 'Sr1 Ac1 Sn2'
_symmetry_space_group_name_H-M 'P 4/m m m'
_symmetry_Int_Tables_number 123
_symmetry_space_group_name_Hall '-P 4 2'
_cell_length_a 3.7527
_cell_length_b 3.7527
_cell_length_c 9.4264
_cell_angle_alpha 90.00
_cell_angle_beta 90.00
_cell_angle_gamma 90.00
loop_
_atom_site_label
_atom_site_fract_x
_atom_site_fract_y
_atom_site_fract_z
_atom_site_occupancy
Sr1 0.0000 0.0000 0.0000 1
Ac1 0.0000 0.0000 0.5000 1
Sn1 0.5000 0.5000 0.2487 1
```

DOS at the Fermi energy = 2.637 states/eV per cell
Energy of formation = -232 kJ/mol of formula units
Electronic total energy = -4.051 eV per atom


Below is an optimized crystal structure of RbUTe3Au, with properties calculated at the PBE level.

```
data_RbUTe3Au
_chemical_formula_sum 'Rb4 U4 Te12 Au4'
_symmetry_space_group_name_H-M 'C m c m'
_symmetry_Int_Tables_number 63
_symmetry_space_group_name_Hall '-C 2c 2'
_cell_length_a 4.4202
_cell_length_b 16.5526
_cell_length_c 11.4140
_cell_angle_alpha 90.00
_cell_angle_beta 90.00
_cell_angle_gamma 90.00
loop_
_atom_site_label
_atom_site_fract_x
_atom_site_fract_y
_atom_site_fract_z
_atom_site_occupancy
Rb1 0.0000 0.2448 0.2500 1
U1 0.0000 0.0000 0.0000 1
Te1 0.0000 0.0694 0.7500 1
Te2 0.0000 0.3733 0.5465 1
Au1 0.0000 0.4634 0.7500 1
```

DOS at the Fermi energy = 26.000 states/eV per cell
Electronic total energy = -4.874 eV per atom
Formation energy without anion corrections = -0.714 eV per atom


Below is an optimized crystal structure of BaNi3B, with properties calculated at the PBE level.

```
data_BaNi3B
_chemical_formula_sum 'Ba1 Ni3 B1'
_symmetry_space_group_name_H-M 'P m -3 m'
_symmetry_Int_Tables_number 221
_symmetry_space_group_name_Hall '-P 4 2 3'
_cell_length_a 4.2161
_cell_length_b 4.2161
_cell_length_c 4.2161
_cell_angle_alpha 90.00
_cell_angle_beta 90.00
_cell_angle_gamma 90.00
loop_
_atom_site_label
_atom_site_fract_x
_atom_site_fract_y
_atom_site_fract_z
_atom_site_occupancy
Ba1 0.0000 0.0000 0.0000 1
Ni1 0.0000 0.5000 0.5000 1
B1 0.5000 0.5000 0.5000 1
```

Offset from the most stable computed form = 0 meV per atom
DOS at the Fermi energy = 8.515 states/eV per cell
Energy of formation = 82 kJ/mol of formula units
Electronic total energy = -5.019 eV per atom


> Look up the electronic total energy of the eleventh one.

-4.874 eV per atom